VASP calculation (GGA-PBE) on a relaxed SbIrPb2 crystal.

The mass density is 12.5 g/cm3. The raw formation energy comes out at 0.4800 eV per atom.

It has space group P4/mmm (No. 123), with a = 4.511 Å, b = 4.511 Å, c = 4.770 Å, α = 90.00°, β = 90.00° and γ = 90.00°. The inequivalent atoms are Sb at (0.000, 0.000, 0.000), Ir at (0.500, 0.500, 0.000) and Pb at (0.000, 0.500, 0.500).